1.
Density functional theory data (PBE-GGA) for a relaxed structure of K3AsSe.

## Properties
- D(E_F) (states/eV/f.u.) = 7.125
- offset from the most stable computed form (meV/atom) = 335
- raw formation energy (eV per atom) = -0.364

a b c (Å): 6.212 6.212 6.212
angles (deg): 90.00 90.00 90.00
Positions (direct):
K (0.000, 0.000, 0.500)
K (0.000, 0.500, 0.000)
K (0.500, 0.000, 0.000)
As (0.500, 0.500, 0.500)
Se (0.000, 0.000, 0.000)


2.
Density functional theory data (PBE-GGA) for a relaxed structure of CaGaGe3.

## Properties
- ΔE_f (eV per atom) = 0.92
- D(E_F) (states/eV/f.u.) = 4.648
- offset from the most stable computed form (meV/atom) = 1147

a b c (Å): 5.411 5.411 5.411
angles (deg): 90.00 90.00 90.00
Positions (direct):
Ca (0.000, 0.000, 0.000)
Ga (0.500, 0.500, 0.500)
Ge (0.000, 0.000, 0.500)
Ge (0.000, 0.500, 0.000)
Ge (0.500, 0.000, 0.000)


3.
Density functional theory data (PBE-GGA) for a relaxed structure of Sm3UBi4.

## Properties
- ΔE_f (eV per atom) = -0.65
- D(E_F) (states/eV/f.u.) = 6.864

a b c (Å): 7.877 7.877 4.519
angles (deg): 90.00 90.00 109.02
Positions (direct):
Sm (0.000, 0.000, 0.000)
Sm (0.000, 0.500, 0.500)
Sm (0.500, 0.000, 0.500)
U (0.500, 0.500, 0.000)
Bi (0.252, 0.252, 0.500)
Bi (0.253, 0.747, 0.000)
Bi (0.747, 0.253, 0.000)
Bi (0.748, 0.748, 0.500)


4.
Density functional theory data (PBE-GGA) for a relaxed structure of Ce2Co4TcP3.

## Properties
- ΔE_f (eV per atom) = -0.81
- D(E_F) (states/eV/f.u.) = 6.751

a b c (Å): 3.946 3.946 9.473
angles (deg): 90.00 90.00 90.00
Positions (direct):
Ce (0.000, 0.500, 0.238)
Ce (0.500, 0.000, 0.762)
Co (0.000, 0.000, 0.000)
Co (0.000, 0.500, 0.630)
Co (0.500, 0.000, 0.370)
Co (0.500, 0.500, 0.000)
Tc (0.000, 0.000, 0.500)
P (0.000, 0.500, 0.873)
P (0.500, 0.000, 0.127)
P (0.500, 0.500, 0.500)


5.
Density functional theory data (PBE-GGA) for a relaxed structure of TmAlGa2Au5.

## Properties
- ΔE_f (eV per atom) = -0.23
- D(E_F) (states/eV/f.u.) = 3.409

a b c (Å): 7.826 7.826 7.826
angles (deg): 144.59 135.90 57.78
Positions (direct):
Tm (0.000, 0.000, 0.000)
Al (0.500, 0.500, 0.000)
Ga (0.311, 0.811, 0.500)
Ga (0.689, 0.189, 0.500)
Au (0.088, 0.351, 0.736)
Au (0.385, 0.649, 0.736)
Au (0.500, 0.000, 0.500)
Au (0.615, 0.351, 0.264)
Au (0.912, 0.649, 0.264)


6.
Density functional theory data (PBE-GGA) for a relaxed structure of Tm6InSn2.

## Properties
- ΔE_f (eV per atom) = -0.35
- D(E_F) (states/eV/f.u.) = 7.048

a b c (Å): 6.092 8.779 10.872
angles (deg): 90.00 118.74 90.00
Positions (direct):
Tm (0.049, 0.163, 0.440)
Tm (0.049, 0.337, 0.940)
Tm (0.358, 0.688, 0.440)
Tm (0.358, 0.812, 0.940)
Tm (0.416, 0.033, 0.300)
Tm (0.416, 0.467, 0.800)
Tm (0.584, 0.533, 0.200)
Tm (0.584, 0.967, 0.700)
Tm (0.642, 0.188, 0.060)
Tm (0.642, 0.312, 0.560)
Tm (0.951, 0.663, 0.060)
Tm (0.951, 0.837, 0.560)
In (0.000, 0.000, 0.000)
In (0.000, 0.500, 0.500)
Sn (0.166, 0.121, 0.756)
Sn (0.166, 0.379, 0.256)
Sn (0.834, 0.621, 0.744)
Sn (0.834, 0.879, 0.244)


7.
Density functional theory data (PBE-GGA) for a relaxed structure of SrGaP2Cl.

## Properties
- D(E_F) (states/eV/f.u.) = 4.187
- offset from the most stable computed form (meV/atom) = 817
- raw formation energy (eV per atom) = 0.363

a b c (Å): 5.898 5.898 5.521
angles (deg): 90.00 90.00 90.00
Positions (direct):
Sr (0.000, 0.000, 0.000)
Ga (0.500, 0.500, 0.500)
P (0.000, 0.500, 0.000)
P (0.500, 0.000, 0.000)
Cl (0.000, 0.000, 0.500)


8.
Density functional theory data (PBE-GGA) for a relaxed structure of Y3Ag.

## Properties
- ΔE_f (eV per atom) = -0.14
- D(E_F) (states/eV/f.u.) = 4.989
- offset from the most stable computed form (meV/atom) = 0

a b c (Å): 3.580 3.580 8.933
angles (deg): 90.00 90.00 90.00
Positions (direct):
Y (0.000, 0.000, 0.000)
Y (0.500, 0.500, 0.287)
Y (0.500, 0.500, 0.713)
Ag (0.000, 0.000, 0.500)


9.
Density functional theory data (PBE-GGA) for a relaxed structure of La2TiTl.

## Properties
- ΔE_f (eV per atom) = 0.02
- D(E_F) (states/eV/f.u.) = 5.535
- offset from the most stable computed form (meV/atom) = 0

a b c (Å): 5.519 5.519 5.519
angles (deg): 60.00 60.00 60.00
Positions (direct):
La (0.250, 0.250, 0.250)
La (0.750, 0.750, 0.750)
Ti (0.000, 0.000, 0.000)
Tl (0.500, 0.500, 0.500)


10.
Density functional theory data (PBE-GGA) for a relaxed structure of Al3FePt.

## Properties
- ΔE_f (eV per atom) = 0.15
- D(E_F) (states/eV/f.u.) = 3.519
- offset from the most stable computed form (meV/atom) = 0

a b c (Å): 4.381 4.381 4.381
angles (deg): 90.00 90.00 90.00
Positions (direct):
Al (0.000, 0.000, 0.500)
Al (0.000, 0.500, 0.000)
Al (0.500, 0.000, 0.000)
Fe (0.000, 0.000, 0.000)
Pt (0.500, 0.500, 0.500)


11.
Density functional theory data (PBE-GGA) for a relaxed structure of LiThCdAg.

## Properties
- ΔE_f (eV per atom) = -0.09
- D(E_F) (states/eV/f.u.) = 1.719

a b c (Å): 4.998 4.998 4.998
angles (deg): 60.00 60.00 60.00
Positions (direct):
Li (0.000, 0.000, 0.000)
Th (0.750, 0.750, 0.750)
Cd (0.250, 0.250, 0.250)
Ag (0.500, 0.500, 0.500)


12.
Density functional theory data (PBE-GGA) for a relaxed structure of PmPdPbAu.

## Properties
- ΔE_f (eV per atom) = -0.61
- D(E_F) (states/eV/f.u.) = 2.861

a b c (Å): 5.048 5.048 5.048
angles (deg): 60.00 60.00 60.00
Positions (direct):
Pm (0.000, 0.000, 0.000)
Pd (0.250, 0.250, 0.250)
Pb (0.500, 0.500, 0.500)
Au (0.750, 0.750, 0.750)


Number 1: calculated total energy -2.649 eV per atom. Number 2: calculated total energy -2.855 eV per atom. Number 3: calculated total energy -5.768 eV per atom. Number 4: calculated total energy -7.498 eV per atom. Number 5: calculated total energy -3.640 eV per atom. Number 6: calculated total energy -4.528 eV per atom. Number 7: calculated total energy -3.112 eV per atom. Number 8: calculated total energy -5.696 eV per atom. Number 9: calculated total energy -5.013 eV per atom. Number 10: calculated total energy -4.993 eV per atom. Number 11: calculated total energy -3.366 eV per atom. Number 12: calculated total energy -4.847 eV per atom.